Compound: La4BiAsI2
Source: Alexandria
Functional: PBE
Structure: optimized geometry

Geometry as POSCAR:
```
La4BiAsI2
1.0
4.528 0.000 0.000
0.000 8.034 -0.201
0.000 2.788 7.504
I La Bi As
2 4 1 1
Direct
0.000 0.000 0.000
0.500 0.000 0.500
0.000 0.278 0.269
0.500 0.291 0.713
0.500 0.709 0.287
0.000 0.722 0.731
0.500 0.500 0.000
0.000 0.500 0.500
```

Output
Formation energy without anion corrections (eV/atom): -1.224
Space group: P2/m

Compound: Sb2Se2Br
Source: Alexandria
Functional: PBE
Structure: optimized geometry

Geometry as POSCAR:
```
Sb2Se2Br
1.0
-7.234 -3.770 -2.314
3.986 -7.478 -0.279
-0.816 -0.564 3.471
Se Sb Br
4 4 2
Direct
0.140 0.360 0.000
0.360 0.860 0.000
0.860 0.640 0.000
0.640 0.140 0.000
0.359 0.141 0.500
0.141 0.641 0.500
0.859 0.359 0.500
0.641 0.859 0.500
0.500 0.500 0.000
0.000 0.000 0.000
```

Output
Formation energy without anion corrections (eV/atom): 0.085
Space group: P4/mbm
Energy above the most stable polymorph in this dataset (eV/atom): 0.345

Compound: CuIO2F
Source: Alexandria
Functional: PBE
Structure: optimized geometry

Geometry as POSCAR:
```
CuIO2F
1.0
3.634 0.000 0.000
0.000 3.634 0.000
0.000 0.000 6.937
Cu F O I
1 1 2 1
Direct
0.000 0.000 0.000
0.500 0.500 0.500
0.000 0.500 0.000
0.500 0.000 0.000
0.000 0.000 0.500
```

Output
Formation energy without anion corrections (eV/atom): 0.060
Space group: P4/mmm

Compound: Sm5Ga2Sb2
Source: Alexandria
Functional: PBE
Structure: optimized geometry

Geometry as POSCAR:
```
Sm5Ga2Sb2
1.0
8.089 0.000 0.000
0.000 7.209 -3.706
0.000 -0.013 8.839
Sm Ga Sb
10 4 4
Direct
0.170 0.460 0.266
0.330 0.694 0.734
0.670 0.040 0.734
0.830 0.806 0.266
0.500 0.500 0.000
0.830 0.540 0.734
0.000 0.000 0.000
0.330 0.960 0.266
0.670 0.306 0.266
0.170 0.194 0.734
0.619 0.879 0.000
0.381 0.121 0.000
0.881 0.379 0.000
0.119 0.621 0.000
0.500 0.705 0.410
0.500 0.295 0.590
0.000 0.205 0.410
0.000 0.795 0.590
```

Output
Formation energy without anion corrections (eV/atom): -0.826
Space group: Cmce

Compound: AcLu2Ag
Source: Alexandria
Functional: PBE
Structure: optimized geometry

Geometry as POSCAR:
```
AcLu2Ag
1.0
-3.486 -0.640 -4.192
-1.270 -5.040 -1.769
-5.019 -2.038 0.890
Lu Ag Ac
2 1 1
Direct
0.750 0.750 0.750
0.250 0.250 0.250
0.500 0.500 0.500
0.000 0.000 0.000
```

Output
ΔH_f (0 K) (meV/atom): 208
Space group: Fm-3m
Energy above the most stable polymorph in this dataset (eV/atom): 0.304

Compound: Ce3HoSb4
Source: Alexandria
Functional: PBE
Structure: optimized geometry

Geometry as POSCAR:
```
Ce3HoSb4
1.0
6.320 0.000 0.000
0.000 6.320 0.000
0.000 0.000 6.320
Sb Ho Ce
4 1 3
Direct
0.000 0.000 0.500
0.000 0.500 0.000
0.500 0.000 0.000
0.500 0.500 0.500
0.000 0.000 0.000
0.500 0.500 0.000
0.500 0.000 0.500
0.000 0.500 0.500
```

Output
Formation energy without anion corrections (eV/atom): -1.051
Space group: Pm-3m
Energy above the most stable polymorph in this dataset (eV/atom): 0.005

Compound: K2RbSi2
Source: Alexandria
Functional: PBE
Structure: optimized geometry

Geometry as POSCAR:
```
K2RbSi2
1.0
-4.105 -1.556 -7.638
6.361 -5.658 -2.266
-2.663 -3.885 2.223
K Si Rb
4 4 2
Direct
0.671 0.829 0.500
0.171 0.671 0.500
0.329 0.171 0.500
0.829 0.329 0.500
0.411 0.911 0.000
0.589 0.089 0.000
0.911 0.589 0.000
0.089 0.411 0.000
0.500 0.500 0.000
0.000 0.000 0.000
```

Output
Formation energy without anion corrections (eV/atom): 0.157
Space group: P4/mbm
Energy above the most stable polymorph in this dataset (eV/atom): 0.000

Compound: Ca2VN4
Source: Alexandria
Functional: PBE
Structure: optimized geometry

Geometry as POSCAR:
```
Ca2VN4
1.0
3.836 0.000 0.000
0.000 3.836 0.000
1.918 1.918 6.134
N V Ca
4 1 2
Direct
0.840 0.840 0.320
0.000 0.500 0.000
0.500 0.000 0.000
0.160 0.160 0.680
0.000 0.000 0.000
0.356 0.356 0.288
0.644 0.644 0.712
```

Output
Formation energy without anion corrections (eV/atom): -0.393
Space group: I4/mmm